[1]
DFT (GGA-PBE) results for a geometry-optimized HoAs2O structure.

Calculated values
Spin magnetization in μB/f.u.: 0.00
ΔE to the lowest computed polymorph in meV per atom: 227.1

abc: 3.592 6.803 8.224
angles: 90.00 90.00 90.00
Sites, in units of the cell vectors:
Ho1 0.000 0.182 0.000
Ho2 0.000 0.818 0.500
As1 0.000 0.225 0.357
As2 0.000 0.775 0.857
As3 0.500 0.229 0.552
As4 0.500 0.771 0.052
O1 0.500 0.304 0.933
O2 0.500 0.696 0.433

[2]
DFT (GGA-PBE) results for a geometry-optimized HoAs2O structure.

Calculated values
Spin magnetization in μB/f.u.: 0.00
ΔE to the lowest computed polymorph in meV per atom: 8.6

abc: 3.856 3.856 10.165
angles: 90.00 90.00 90.00
Sites, in units of the cell vectors:
Ho1 0.250 0.250 0.109
Ho2 0.750 0.750 0.891
As1 0.250 0.250 0.716
As2 0.250 0.750 0.500
As3 0.750 0.250 0.500
As4 0.750 0.750 0.284
O1 0.250 0.750 0.000
O2 0.750 0.250 0.000

[3]
DFT (GGA-PBE) results for a geometry-optimized HoAs2O structure.

Calculated values
Spin magnetization in μB/f.u.: 0.01
ΔE to the lowest computed polymorph in meV per atom: 1030.7

abc: 4.698 4.698 7.083
angles: 90.00 90.00 90.00
Sites, in units of the cell vectors:
Ho1 0.250 0.750 0.000
Ho2 0.750 0.250 0.000
As1 0.250 0.250 0.203
As2 0.250 0.250 0.554
As3 0.750 0.750 0.446
As4 0.750 0.750 0.797
O1 0.250 0.750 0.500
O2 0.750 0.250 0.500

[4]
DFT (GGA-PBE) results for a geometry-optimized HoAs2O structure.

Calculated values
Spin magnetization in μB/f.u.: 0.00
ΔE to the lowest computed polymorph in meV per atom: 0.0

abc: 3.791 3.791 10.631
angles: 90.00 90.00 90.00
Sites, in units of the cell vectors:
Ho1 0.250 0.250 0.106
Ho2 0.750 0.750 0.894
As1 0.250 0.250 0.717
As2 0.250 0.750 0.500
As3 0.750 0.250 0.500
As4 0.750 0.750 0.283
O1 0.250 0.750 0.000
O2 0.750 0.250 0.000

[5]
DFT (GGA-PBE) results for a geometry-optimized HoAsOsO structure.

Calculated values
Spin magnetization in μB/f.u.: 0.00
ΔE to the lowest computed polymorph in meV per atom: 609.6

abc: 4.219 4.286 7.137
angles: 90.00 90.00 90.00
Sites, in units of the cell vectors:
Ho1 0.000 0.242 0.000
Ho2 0.000 0.758 0.500
As1 0.500 0.228 0.679
As2 0.500 0.772 0.179
Os1 0.500 0.266 0.344
Os2 0.500 0.734 0.844
O1 0.000 0.308 0.322
O2 0.000 0.692 0.822

[6]
DFT (GGA-PBE) results for a geometry-optimized HoAsOsO structure.

Calculated values
Spin magnetization in μB/f.u.: 0.00
ΔE to the lowest computed polymorph in meV per atom: 0.0

abc: 4.051 4.051 7.938
angles: 90.00 90.00 90.00
Sites, in units of the cell vectors:
Ho1 0.250 0.250 0.129
Ho2 0.750 0.750 0.871
As1 0.250 0.250 0.675
As2 0.750 0.750 0.325
Os1 0.250 0.750 0.500
Os2 0.750 0.250 0.500
O1 0.250 0.750 0.000
O2 0.750 0.250 0.000

[7]
DFT (GGA-PBE) results for a geometry-optimized HoAsOsO structure.

Calculated values
Spin magnetization in μB/f.u.: 0.00
ΔE to the lowest computed polymorph in meV per atom: 1796.3

abc: 4.295 4.295 6.761
angles: 90.00 90.00 90.00
Sites, in units of the cell vectors:
Ho1 0.250 0.750 0.000
Ho2 0.750 0.250 0.000
As1 0.250 0.250 0.285
As2 0.750 0.750 0.715
Os1 0.250 0.250 0.649
Os2 0.750 0.750 0.351
O1 0.250 0.750 0.500
O2 0.750 0.250 0.500

[8]
DFT (GGA-PBE) results for a geometry-optimized HoAsOsO structure.

Calculated values
Spin magnetization in μB/f.u.: 0.00
ΔE to the lowest computed polymorph in meV per atom: 646.6

abc: 4.121 6.021 5.724
angles: 90.00 90.00 90.00
Sites, in units of the cell vectors:
Ho1 0.000 0.187 0.000
Ho2 0.000 0.813 0.500
As1 0.000 0.314 0.479
As2 0.000 0.686 0.979
Os1 0.500 0.492 0.197
Os2 0.500 0.508 0.697
O1 0.500 0.243 0.927
O2 0.500 0.757 0.427

[9]
DFT (GGA-PBE) results for a geometry-optimized HoAsPO structure.

Calculated values
Spin magnetization in μB/f.u.: 0.02
ΔE to the lowest computed polymorph in meV per atom: 0.0

abc: 4.263 4.263 7.771
angles: 90.00 90.00 90.00
Sites, in units of the cell vectors:
Ho1 0.250 0.250 0.110
Ho2 0.750 0.750 0.890
As1 0.250 0.750 0.500
As2 0.750 0.250 0.500
P1 0.250 0.250 0.667
P2 0.750 0.750 0.333
O1 0.250 0.750 0.000
O2 0.750 0.250 0.000

[10]
DFT (GGA-PBE) results for a geometry-optimized HoAsPO structure.

Calculated values
Spin magnetization in μB/f.u.: 0.00
ΔE to the lowest computed polymorph in meV per atom: 51.6

abc: 3.459 6.843 6.576
angles: 90.00 90.00 90.00
Sites, in units of the cell vectors:
Ho1 0.000 0.199 0.000
Ho2 0.000 0.801 0.500
As1 0.500 0.409 0.645
As2 0.500 0.591 0.145
P1 0.000 0.344 0.419
P2 0.000 0.656 0.919
O1 0.500 0.060 0.088
O2 0.500 0.940 0.588

[11]
DFT (GGA-PBE) results for a geometry-optimized HoAsPO structure.

Calculated values
Spin magnetization in μB/f.u.: 0.00
ΔE to the lowest computed polymorph in meV per atom: 375.8

abc: 5.627 5.627 4.626
angles: 90.00 90.00 90.00
Sites, in units of the cell vectors:
Ho1 0.250 0.750 0.000
Ho2 0.750 0.250 0.000
As1 0.250 0.250 0.498
As2 0.750 0.750 0.502
P1 0.250 0.250 0.998
P2 0.750 0.750 0.002
O1 0.250 0.750 0.500
O2 0.750 0.250 0.500

[12]
DFT (GGA-PBE) results for a geometry-optimized HoAsPO structure.

Calculated values
Spin magnetization in μB/f.u.: 0.00
ΔE to the lowest computed polymorph in meV per atom: 22.2

abc: 4.936 6.774 6.172
angles: 90.00 90.00 90.00
Sites, in units of the cell vectors:
Ho1 0.000 0.174 0.000
Ho2 0.000 0.826 0.500
As1 0.500 0.315 0.572
As2 0.500 0.685 0.072
P1 0.500 0.371 0.940
P2 0.500 0.629 0.440
O1 0.000 0.065 0.304
O2 0.000 0.935 0.804